{"formula": "Np2CoN3", "functional": "PBE", "state": "optimized geometry", "cell": [[-1.6539, 1.8454, 5.9832], [1.6539, -1.8454, 5.9832], [1.6539, 1.8454, -5.9832]], "species": ["Co", "N", "N", "N", "Np", "Np"], "frac_coords": [[0.0000, 0.0000, 0.0000], [0.1666, 0.1666, 0.0000], [0.8334, 0.8334, 0.0000], [0.5000, 0.0000, 0.5000], [0.3569, 0.3569, 0.0000], [0.6431, 0.6431, 0.0000]], "volume_a3_per_atom": 12.17, "energy_ev_per_atom": -10.57}